[1]
This record from Alexandria via LeMat-Bulk describes a relaxed MnInRh2 crystal. The functional is PBE.

Properties
DOS(E_F)   2.0 states/eV/cell
V   15.611 Å³ per atom
Energy relative to the elements   -312 meV/atom

a = 4.423 Å, b = 4.423 Å, c = 3.192 Å
α = 90.00°, β = 90.00°, γ = 90.00°
Sites, in units of the cell vectors:
Mn1 0.000 0.000 0.000
In1 0.500 0.500 0.000
Rh1 0.000 0.500 0.500
Rh2 0.500 0.000 0.500

[2]
This record from Alexandria via LeMat-Bulk describes a relaxed MnIn4Rh crystal. The functional is PBE.

Properties
DOS(E_F)   5.0 states/eV/cell
V   22.485 Å³ per atom
Energy relative to the elements   593 meV/atom

a = 5.757 Å, b = 5.757 Å, c = 5.757 Å
α = 60.00°, β = 60.00°, γ = 60.00°
Sites, in units of the cell vectors:
Mn1 0.000 0.000 0.000
In1 0.375 0.375 0.375
In2 0.375 0.375 0.875
In3 0.375 0.875 0.375
In4 0.875 0.375 0.375
Rh1 0.750 0.750 0.750

[3]
This record from Alexandria via LeMat-Bulk describes a relaxed MnInRh2 crystal. The functional is PBE.

Properties
DOS(E_F)   6.2 states/eV/cell
V   15.894 Å³ per atom
Energy relative to the elements   -5 meV/atom

a = 4.480 Å, b = 4.480 Å, c = 4.480 Å
α = 60.00°, β = 60.00°, γ = 60.00°
Sites, in units of the cell vectors:
Mn1 0.000 0.000 0.000
In1 0.750 0.750 0.750
Rh1 0.250 0.250 0.250
Rh2 0.500 0.500 0.500